DFT (PBE) results for a relaxed structure of PtW2Au.

The structure belongs to space group P4/mmm (No. 123); the cell edges are 3.9032, 3.9032 and 4.2391 Å and the angles 90.00°, 90.00° and 90.00°. The asymmetric unit holds Pt at (0.0000, 0.0000, 0.0000), W at (0.0000, 0.5000, 0.5000) and Au at (0.5000, 0.5000, 0.0000).

Its formation energy is 0.78 eV per formula unit. The total energy comes out at -8.6112 eV per atom. Its excess energy over the best structure of this formula in the dataset is 0.151 eV per atom. The value obtained for the density is 19.5 g/cm³. Its crystal system is tetragonal.

---

DFT (PBE) results for a relaxed structure of Pt2WAu.

The structure belongs to space group F-43m (No. 216); the cell edges are 6.3849, 6.3849 and 6.3849 Å and the angles 90.00°, 90.00° and 90.00°. The asymmetric unit holds Pt at (0.0000, 0.0000, 0.0000), Pt at (0.2500, 0.2500, 0.2500), W at (0.0000, 0.0000, 0.5000) and Au at (0.2500, 0.2500, 0.7500).

Its formation energy is 0.71 eV per formula unit. The total energy comes out at -6.9013 eV per atom. Its excess energy over the best structure of this formula in the dataset is 0.394 eV per atom. The value obtained for the density is 19.7 g/cm³. Its crystal system is cubic.

---

DFT (PBE) results for a relaxed structure of Pt2WAu.

The structure belongs to space group Pmm2 (No. 25); the cell edges are 2.8484, 4.0883 and 5.5509 Å and the angles 90.00°, 90.00° and 90.00°. The asymmetric unit holds Pt at (0.0000, 0.0000, 0.0000), Pt at (0.5000, 0.5000, 0.2663), W at (0.0000, 0.0000, 0.4829) and Au at (0.5000, 0.5000, 0.7515).

Its formation energy is 0.04 eV per formula unit. The total energy comes out at -7.0687 eV per atom. Its excess energy over the best structure of this formula in the dataset is 0.226 eV per atom. The value obtained for the density is 19.8 g/cm³. Its crystal system is orthorhombic.

---

DFT (PBE) results for a relaxed structure of Pt2WAu.

The structure belongs to space group Pmmm (No. 47); the cell edges are 2.7806, 4.8356 and 4.9083 Å and the angles 90.00°, 90.00° and 90.00°. The asymmetric unit holds Pt at (0.0000, 0.0000, 0.0000), Pt at (0.5000, 0.0000, 0.5000), W at (0.0000, 0.5000, 0.5000) and Au at (0.5000, 0.5000, 0.0000).

Its formation energy is 1.14 eV per formula unit. The total energy comes out at -6.7940 eV per atom. Its excess energy over the best structure of this formula in the dataset is 0.501 eV per atom. The value obtained for the density is 19.4 g/cm³. Its crystal system is orthorhombic.